(A)
Density functional theory data (GGA-PBE) for an optimized crystal structure of CoH2Ru2.

Values from the calculation:
Its density of states at the Fermi level is 5.62 states/eV/cell. The density comes out at 9.67 g/cm3. As for the symmetry: I4/mmm, No. 139.

a b c (Å): 5.8373 5.8373 5.8373
angles (deg): 151.50 151.50 40.75
Atoms (fractional coordinates):
1 Co 0.0000 0.0000 0.0000
2 H 0.2500 0.7500 0.5000
3 H 0.7500 0.2500 0.5000
4 Ru 0.3567 0.3567 0.0000
5 Ru 0.6433 0.6433 0.0000

***

(B)
Density functional theory data (GGA-PBE) for an optimized crystal structure of CoH2Ru2.

Values from the calculation:
Its density of states at the Fermi level is 9.56 states/eV/cell. The density comes out at 9.85 g/cm3. As for the symmetry: P4/mbm, No. 127.

a b c (Å): 5.5951 5.5951 2.8348
angles (deg): 90.00 90.00 90.00
Atoms (fractional coordinates):
1 Co 0.0000 0.0000 0.0000
2 Co 0.5000 0.5000 0.0000
3 H 0.1920 0.3080 0.0000
4 H 0.3080 0.8080 0.0000
5 H 0.6920 0.1920 0.0000
6 H 0.8080 0.6920 0.0000
7 Ru 0.1557 0.6557 0.5000
8 Ru 0.3443 0.1557 0.5000
9 Ru 0.6557 0.8443 0.5000
10 Ru 0.8443 0.3443 0.5000

***

Most stable = (A)

***

(A)
Density functional theory data (GGA-PBE) for an optimized crystal structure of CoHRu2.

Values from the calculation:
Its density of states at the Fermi level is 3.72 states/eV/cell. The density comes out at 9.84 g/cm3. As for the symmetry: Fm-3m, No. 225.

a b c (Å): 3.9695 3.9695 3.9695
angles (deg): 60.00 60.00 60.00
Atoms (fractional coordinates):
1 Co 0.0000 0.0000 0.0000
2 H 0.5000 0.5000 0.5000
3 Ru 0.2500 0.2500 0.2500
4 Ru 0.7500 0.7500 0.7500

***

(B)
Density functional theory data (GGA-PBE) for an optimized crystal structure of CoHRu2.

Values from the calculation:
Its density of states at the Fermi level is 9.86 states/eV/cell. The density comes out at 10.22 g/cm3. As for the symmetry: I-42d, No. 122.

a b c (Å): 4.8272 4.8272 4.8272
angles (deg): 105.44 105.44 117.87
Atoms (fractional coordinates):
1 Co 0.0000 0.0000 0.0000
2 Co 0.7500 0.2500 0.5000
3 H 0.2500 0.7500 0.5000
4 H 0.5000 0.5000 0.0000
5 Ru 0.2129 0.6250 0.0879
6 Ru 0.3750 0.4629 0.5879
7 Ru 0.5371 0.1250 0.9121
8 Ru 0.8750 0.7871 0.4121

***

Most stable = (B)

***

(A)
Density functional theory data (GGA-PBE) for an optimized crystal structure of Co2HRu2.

Values from the calculation:
Its density of states at the Fermi level is 7.09 states/eV/cell. The density comes out at 8.80 g/cm3. As for the symmetry: I4/mmm, No. 139.

a b c (Å): 6.7059 6.7059 6.7059
angles (deg): 153.36 153.36 38.04
Atoms (fractional coordinates):
1 Co 0.2500 0.7500 0.5000
2 Co 0.7500 0.2500 0.5000
3 H 0.0000 0.0000 0.0000
4 Ru 0.4073 0.4073 0.0000
5 Ru 0.5927 0.5927 0.0000

***

(B)
Density functional theory data (GGA-PBE) for an optimized crystal structure of Co2HRu2.

Values from the calculation:
Its density of states at the Fermi level is 10.83 states/eV/cell. The density comes out at 9.45 g/cm3. As for the symmetry: P4/mbm, No. 127.

a b c (Å): 5.1729 5.1729 4.2165
angles (deg): 90.00 90.00 90.00
Atoms (fractional coordinates):
1 Co 0.1579 0.3421 0.0000
2 Co 0.3421 0.8421 0.0000
3 Co 0.6579 0.1579 0.0000
4 Co 0.8421 0.6579 0.0000
5 H 0.0000 0.0000 0.5000
6 H 0.5000 0.5000 0.5000
7 Ru 0.1721 0.6721 0.5000
8 Ru 0.3279 0.1721 0.5000
9 Ru 0.6721 0.8279 0.5000
10 Ru 0.8279 0.3279 0.5000

***

Most stable = (B)